Entry 1:
The following is a PBE calculation of a geometry-optimized InAsH2 structure, from Alexandria.

Summary:
For the size of the total moment, the calculation gives 0.0 Bohr magnetons per cell. The calculation puts the uncorrected energy at -3.160 eV/atom.

```
InAsH2
1.0
-1.524 1.885 4.106
-0.856 -4.376 1.691
3.887 -1.471 4.887
As In H
2 2 4
direct
0.500 0.500 0.000
0.250 0.750 0.500
0.750 0.250 0.500
0.000 0.000 0.000
0.875 0.625 0.750
0.375 0.625 0.750
0.375 0.625 0.250
0.375 0.125 0.250
```

=====

Entry 2:
The following is a PBE calculation of a geometry-optimized CaYAl structure, from Alexandria.

Summary:
For the size of the total moment, the calculation gives 0.0 Bohr magnetons per cell. The value obtained for the energy of formation is -0.12 eV per formula unit.

```
CaYAl
1.0
-2.552 3.160 -2.587
-3.367 -3.355 -0.776
-3.730 2.255 6.434
Ca Al Y
2 2 2
direct
0.500 0.000 0.206
0.000 0.500 0.794
0.000 0.000 0.500
0.500 0.500 0.500
0.500 0.000 0.733
0.000 0.500 0.267
```

=====

Entry 3:
The following is a PBE calculation of a geometry-optimized RbBa2Na2As2 structure, from Alexandria.

Summary:
For the size of the total moment, the calculation gives 0.8 Bohr magnetons per cell. The value obtained for the energy of formation is -4.04 eV per formula unit.

```
RbBa2Na2As2
1.0
-4.369 -1.355 -2.422
-3.376 -3.159 2.327
-7.768 7.302 4.399
Ba As Na Rb
2 2 2 1
direct
0.872 0.872 0.383
0.128 0.128 0.617
0.751 0.751 0.746
0.249 0.249 0.254
0.402 0.402 0.794
0.598 0.598 0.206
0.000 0.000 0.000
```

=====

Look up the size of the total moment of the first one.
0.0 Bohr magnetons per cell

=====

The highest size of the total moment belongs to which entry?
RbBa2Na2As2